# 1
# SrAl2Ir PBE optimized geometry
# ρ: 6.96 Mg/m³
# total magnetic moment: 0.000 μB/f.u.
# energy relative to the elements: -0.394 eV/atom
data_SrAl2Ir
_cell_length_a 3.042
_cell_length_b 3.376
_cell_length_c 7.759
_cell_angle_alpha 90.00
_cell_angle_beta 90.00
_cell_angle_gamma 90.00
_symmetry_space_group_name_H-M 'P m m m'
_symmetry_Int_Tables_number 47
_symmetry_space_group_name_Hall '-P 2 2'
loop_
_atom_site_label
_atom_site_type_symbol
_atom_site_fract_x
_atom_site_fract_y
_atom_site_fract_z
Sr1 Sr 0.000 0.000 0.000
Al1 Al 0.500 0.500 0.323
Ir1 Ir 0.000 0.000 0.500

# 2
# SrAl2Ir PBE optimized geometry
# ρ: 6.10 Mg/m³
# total magnetic moment: 0.000 μB/f.u.
# energy relative to the elements: -0.616 eV/atom
data_SrAl2Ir
_cell_length_a 4.3006
_cell_length_b 4.3006
_cell_length_c 17.0176
_cell_angle_alpha 90.00
_cell_angle_beta 90.00
_cell_angle_gamma 120.00
_symmetry_space_group_name_H-M 'R -3 m'
_symmetry_Int_Tables_number 166
_symmetry_space_group_name_Hall '-R 3 2"'
loop_
_atom_site_label
_atom_site_type_symbol
_atom_site_fract_x
_atom_site_fract_y
_atom_site_fract_z
Sr1 Sr 0.0000 0.0000 0.0000
Al1 Al 0.0000 0.0000 0.1972
Ir1 Ir 0.0000 0.0000 0.5000

# 3
# SrAlIr2 PBE optimized geometry
# ρ: 8.08 Mg/m³
# total magnetic moment: 0.000 μB/f.u.
# energy relative to the elements: -0.119 eV/atom
data_SrAlIr2
_cell_length_a 4.937
_cell_length_b 4.937
_cell_length_c 16.838
_cell_angle_alpha 90.00
_cell_angle_beta 90.00
_cell_angle_gamma 90.00
_symmetry_space_group_name_H-M 'I 41/a m d'
_symmetry_Int_Tables_number 141
loop_
_symmetry_equiv_pos_as_xyz
'x,y,z'
'-x,-y,-z'
'-y+1/4,x+3/4,z+1/4'
'y+1/4,-x+3/4,-z+1/4'
'-x+1/2,-y,z+1/2'
'x+1/2,y,-z+1/2'
'y+1/4,-x+1/4,z+3/4'
'-y+1/4,x+1/4,-z+3/4'
'x,-y,-z'
'-x,y,z'
'-y+1/4,-x+1/4,-z+3/4'
'y+1/4,x+1/4,z+3/4'
'-x+1/2,y,-z+1/2'
'x+1/2,-y,z+1/2'
'y+1/4,x+3/4,-z+1/4'
'-y+1/4,-x+3/4,z+1/4'
'x+1/2,y+1/2,z+1/2'
'-x+1/2,-y+1/2,-z+1/2'
'-y+3/4,x+1/4,z+3/4'
'y+3/4,-x+1/4,-z+3/4'
'-x,-y+1/2,z'
'x,y+1/2,-z'
'y+3/4,-x+3/4,z+1/4'
'-y+3/4,x+3/4,-z+1/4'
'x+1/2,-y+1/2,-z+1/2'
'-x+1/2,y+1/2,z+1/2'
'-y+3/4,-x+3/4,-z+1/4'
'y+3/4,x+3/4,z+1/4'
'-x,y+1/2,-z'
'x,-y+1/2,z'
'y+3/4,x+1/4,-z+3/4'
'-y+3/4,-x+1/4,z+3/4'
loop_
_atom_site_label
_atom_site_type_symbol
_atom_site_fract_x
_atom_site_fract_y
_atom_site_fract_z
Sr1 Sr 0.000 0.250 0.375
Al1 Al 0.000 0.250 0.875
Ir1 Ir 0.000 0.000 0.000

# 4
# Sr2Al2Ir PBE optimized geometry
# energy relative to the lowest polymorph listed for this composition: 6.46 eV/f.u.
# ρ: 5.81 Mg/m³
# total magnetic moment: 0.000 μB/f.u.
# energy relative to the elements: 0.835 eV/atom
data_Sr2Al2Ir
_cell_length_a 4.112
_cell_length_b 4.112
_cell_length_c 14.233
_cell_angle_alpha 90.00
_cell_angle_beta 90.00
_cell_angle_gamma 90.00
_symmetry_space_group_name_H-M 'I 4/m m m'
_symmetry_Int_Tables_number 139
_symmetry_space_group_name_Hall '-I 4 2'
loop_
_atom_site_label
_atom_site_type_symbol
_atom_site_fract_x
_atom_site_fract_y
_atom_site_fract_z
Sr1 Sr 0.000 0.500 0.250
Al1 Al 0.000 0.000 0.084
Ir1 Ir 0.000 0.000 0.500

# 5
# SrAl3Ir PBE optimized geometry
# energy relative to the lowest polymorph listed for this composition: 0.31 eV/f.u.
# ρ: 5.37 Mg/m³
# total magnetic moment: 0.000 μB/f.u.
# energy relative to the elements: -0.424 eV/atom
data_SrAl3Ir
_cell_length_a 4.813
_cell_length_b 4.813
_cell_length_c 4.813
_cell_angle_alpha 90.00
_cell_angle_beta 90.00
_cell_angle_gamma 90.00
_symmetry_space_group_name_H-M 'P m -3 m'
_symmetry_Int_Tables_number 221
_symmetry_space_group_name_Hall '-P 4 2 3'
loop_
_atom_site_label
_atom_site_type_symbol
_atom_site_fract_x
_atom_site_fract_y
_atom_site_fract_z
Sr1 Sr 0.000 0.000 0.000
Al1 Al 0.000 0.500 0.500
Ir1 Ir 0.500 0.500 0.500

# 6
# SrAlIr2 PBE optimized geometry
# ρ: 11.47 Mg/m³
# total magnetic moment: 0.000 μB/f.u.
# energy relative to the elements: 0.241 eV/atom
data_SrAlIr2
_cell_length_a 6.043
_cell_length_b 8.962
_cell_length_c 2.918
_cell_angle_alpha 90.00
_cell_angle_beta 113.93
_cell_angle_gamma 90.00
_symmetry_space_group_name_H-M 'C 1 2/m 1'
_symmetry_Int_Tables_number 12
_symmetry_space_group_name_Hall '-C 2y'
loop_
_atom_site_label
_atom_site_type_symbol
_atom_site_fract_x
_atom_site_fract_y
_atom_site_fract_z
Sr1 Sr 0.000 0.000 0.000
Al1 Al 0.000 0.500 0.000
Ir1 Ir 0.250 0.250 0.500

# 7
# SrAl2Ir PBE optimized geometry
# ρ: 4.98 Mg/m³
# total magnetic moment: 0.000 μB/f.u.
# energy relative to the elements: -0.281 eV/atom
data_SrAl2Ir
_cell_length_a 5.328
_cell_length_b 5.328
_cell_length_c 15.697
_cell_angle_alpha 90.00
_cell_angle_beta 90.00
_cell_angle_gamma 90.00
_symmetry_space_group_name_H-M 'I 41/a m d'
_symmetry_Int_Tables_number 141
loop_
_symmetry_equiv_pos_as_xyz
'x,y,z'
'-x,-y,-z'
'-y+1/4,x+3/4,z+1/4'
'y+1/4,-x+3/4,-z+1/4'
'-x+1/2,-y,z+1/2'
'x+1/2,y,-z+1/2'
'y+1/4,-x+1/4,z+3/4'
'-y+1/4,x+1/4,-z+3/4'
'x,-y,-z'
'-x,y,z'
'-y+1/4,-x+1/4,-z+3/4'
'y+1/4,x+1/4,z+3/4'
'-x+1/2,y,-z+1/2'
'x+1/2,-y,z+1/2'
'y+1/4,x+3/4,-z+1/4'
'-y+1/4,-x+3/4,z+1/4'
'x+1/2,y+1/2,z+1/2'
'-x+1/2,-y+1/2,-z+1/2'
'-y+3/4,x+1/4,z+3/4'
'y+3/4,-x+1/4,-z+3/4'
'-x,-y+1/2,z'
'x,y+1/2,-z'
'y+3/4,-x+3/4,z+1/4'
'-y+3/4,x+3/4,-z+1/4'
'x+1/2,-y+1/2,-z+1/2'
'-x+1/2,y+1/2,z+1/2'
'-y+3/4,-x+3/4,-z+1/4'
'y+3/4,x+3/4,z+1/4'
'-x,y+1/2,-z'
'x,-y+1/2,z'
'y+3/4,x+1/4,-z+3/4'
'-y+3/4,-x+1/4,z+3/4'
loop_
_atom_site_label
_atom_site_type_symbol
_atom_site_fract_x
_atom_site_fract_y
_atom_site_fract_z
Sr1 Sr 0.000 0.250 0.375
Al1 Al 0.000 0.000 0.000
Ir1 Ir 0.000 0.250 0.875

# 8
# SrAl11Ir PBE optimized geometry
# ρ: 4.14 Mg/m³
# total magnetic moment: 0.000 μB/f.u.
# energy relative to the elements: -0.245 eV/atom
data_SrAl11Ir
_cell_length_a 5.215
_cell_length_b 12.817
_cell_length_c 7.309
_cell_angle_alpha 90.00
_cell_angle_beta 108.89
_cell_angle_gamma 90.00
_symmetry_space_group_name_H-M 'C 1 2/m 1'
_symmetry_Int_Tables_number 12
_symmetry_space_group_name_Hall '-C 2y'
loop_
_atom_site_label
_atom_site_type_symbol
_atom_site_fract_x
_atom_site_fract_y
_atom_site_fract_z
Sr1 Sr 0.000 0.000 0.000
Al1 Al 0.000 0.000 0.500
Al2 Al 0.113 0.389 0.234
Al3 Al 0.183 0.175 0.361
Al4 Al 0.250 0.250 0.000
Ir1 Ir 0.000 0.500 0.500

# 9
# SrAlIr3 PBE optimized geometry
# energy relative to the lowest polymorph listed for this composition: 11.16 eV/f.u.
# ρ: 9.41 Mg/m³
# total magnetic moment: 1.927 μB/f.u.
# energy relative to the elements: 2.577 eV/atom
data_SrAlIr3
_cell_length_a 4.959
_cell_length_b 4.959
_cell_length_c 4.959
_cell_angle_alpha 90.00
_cell_angle_beta 90.00
_cell_angle_gamma 90.00
_symmetry_space_group_name_H-M 'P m -3 m'
_symmetry_Int_Tables_number 221
_symmetry_space_group_name_Hall '-P 4 2 3'
loop_
_atom_site_label
_atom_site_type_symbol
_atom_site_fract_x
_atom_site_fract_y
_atom_site_fract_z
Sr1 Sr 0.000 0.000 0.000
Al1 Al 0.500 0.500 0.500
Ir1 Ir 0.000 0.000 0.500

# 10
# SrAl2Ir PBE optimized geometry
# ρ: 7.02 Mg/m³
# total magnetic moment: 0.000 μB/f.u.
# energy relative to the elements: 0.245 eV/atom
data_SrAl2Ir
_cell_length_a 5.688
_cell_length_b 9.162
_cell_length_c 3.031
_cell_angle_alpha 90.00
_cell_angle_beta 90.00
_cell_angle_gamma 90.00
_symmetry_space_group_name_H-M 'C m m m'
_symmetry_Int_Tables_number 65
_symmetry_space_group_name_Hall '-C 2 2'
loop_
_atom_site_label
_atom_site_type_symbol
_atom_site_fract_x
_atom_site_fract_y
_atom_site_fract_z
Sr1 Sr 0.000 0.000 0.000
Al1 Al 0.250 0.250 0.500
Ir1 Ir 0.000 0.500 0.000

# 11
# SrAl2Ir PBE optimized geometry
# ρ: 7.06 Mg/m³
# total magnetic moment: 0.000 μB/f.u.
# energy relative to the elements: 0.231 eV/atom
data_SrAl2Ir
_cell_length_a 5.713
_cell_length_b 9.590
_cell_length_c 3.000
_cell_angle_alpha 90.00
_cell_angle_beta 107.07
_cell_angle_gamma 90.00
_symmetry_space_group_name_H-M 'C 1 2/m 1'
_symmetry_Int_Tables_number 12
_symmetry_space_group_name_Hall '-C 2y'
loop_
_atom_site_label
_atom_site_type_symbol
_atom_site_fract_x
_atom_site_fract_y
_atom_site_fract_z
Sr1 Sr 0.000 0.000 0.000
Al1 Al 0.250 0.250 0.500
Ir1 Ir 0.000 0.500 0.000

# 12
# SrAlIr2 PBE optimized geometry
# ρ: 11.57 Mg/m³
# total magnetic moment: 0.000 μB/f.u.
# energy relative to the elements: -0.288 eV/atom
data_SrAlIr2
_cell_length_a 3.115
_cell_length_b 3.115
_cell_length_c 7.386
_cell_angle_alpha 90.00
_cell_angle_beta 90.00
_cell_angle_gamma 90.00
_symmetry_space_group_name_H-M 'P 4/m m m'
_symmetry_Int_Tables_number 123
_symmetry_space_group_name_Hall '-P 4 2'
loop_
_atom_site_label
_atom_site_type_symbol
_atom_site_fract_x
_atom_site_fract_y
_atom_site_fract_z
Sr1 Sr 0.000 0.000 0.000
Al1 Al 0.000 0.000 0.500
Ir1 Ir 0.500 0.500 0.306

# 13
# SrAl2Ir PBE optimized geometry
# ρ: 6.03 Mg/m³
# total magnetic moment: 0.000 μB/f.u.
# energy relative to the elements: -0.114 eV/atom
data_SrAl2Ir
_cell_length_a 5.541
_cell_length_b 7.466
_cell_length_c 4.443
_cell_angle_alpha 90.00
_cell_angle_beta 91.61
_cell_angle_gamma 90.00
_symmetry_space_group_name_H-M 'C 1 2 1'
_symmetry_Int_Tables_number 5
_symmetry_space_group_name_Hall 'C 2y'
loop_
_atom_site_label
_atom_site_type_symbol
_atom_site_fract_x
_atom_site_fract_y
_atom_site_fract_z
Sr1 Sr 0.000 0.000 0.000
Al1 Al 0.000 0.417 0.000
Al2 Al 0.000 0.649 0.500
Ir1 Ir 0.000 0.307 0.500

no.,E (eV per atom)
1,-4.9008
2,-5.1228
3,-5.9053
4,-3.1066
5,-4.7784
6,-5.5457
7,-4.7875
8,-4.2223
9,-3.8246
10,-4.2619
11,-4.2764
12,-6.0748
13,-4.6212